# 1
DFT (SCAN) results for a PBEsol-optimized structure of ScNi3H.

Structure (POSCAR):
```
ScNi3H
1.0
4.304 0.000 0.000
0.000 5.258 0.000
0.000 -2.629 4.553
Sc H Ni
2 2 6
direct
0.750 0.667 0.333
0.250 0.333 0.667
0.750 0.333 0.667
0.250 0.667 0.333
0.250 0.848 0.697
0.750 0.152 0.848
0.250 0.303 0.152
0.250 0.848 0.152
0.750 0.152 0.303
0.750 0.697 0.848
```

Values from the calculation:
Relative energy among the computed polymorphs = 0 meV/atom


# 2
DFT (SCAN) results for a PBEsol-optimized structure of TaOsSe2.

Structure (POSCAR):
```
TaOsSe2
1.0
3.960 0.000 0.000
0.000 3.960 0.000
-1.980 -1.980 4.118
Ta Os Se
1 1 2
direct
0.500 0.500 0.000
0.250 0.750 0.500
0.000 0.000 0.000
0.750 0.250 0.500
```

Values from the calculation:
Relative energy among the computed polymorphs = 552 meV/atom
Formation energy without anion corrections = 490 meV/atom


# 3
DFT (SCAN) results for a PBEsol-optimized structure of AlN.

Structure (POSCAR):
```
AlN
1.0
3.114 0.000 0.000
-1.557 2.697 0.000
0.000 0.000 4.982
N Al
2 2
direct
0.333 0.667 0.618
0.667 0.333 0.118
0.667 0.333 0.500
0.333 0.667 0.000
```

Values from the calculation:
Formation energy without anion corrections = -1694 meV/atom


# 4
DFT (SCAN) results for a PBEsol-optimized structure of LiAs2Rh2.

Structure (POSCAR):
```
LiAs2Rh2
1.0
4.024 0.000 0.000
0.000 4.024 0.000
-2.012 -2.012 5.196
Li As Rh
1 2 2
direct
0.000 0.000 0.000
0.621 0.621 0.242
0.379 0.379 0.758
0.250 0.750 0.500
0.750 0.250 0.500
```

Values from the calculation:
Energy of formation = -61.2 kJ per mole of atoms